A geometry-optimized NaHO2 structure. Source: the Alexandria database, functional GGA-PBE.

Cell: 3.8019 3.8019 5.5422 Å, 69.94 69.94 90.00°
With the nearest neighbours (Å) after each atom.
Fractional positions:
Na 0.0000 0.0000 0.0000  8 O 2.45, 4 H 2.69
Na 0.7500 0.2500 0.5000  8 O 2.45, 4 H 2.69
O 0.3750 0.1250 0.2500  2 H 1.54
O 0.3750 0.6250 0.2500  2 H 1.54
O 0.3750 0.6250 0.7500  2 H 1.54
O 0.8750 0.6250 0.7500  2 H 1.54
H 0.5000 0.5000 0.0000  4 O 1.54
H 0.2500 0.7500 0.5000  4 O 1.54

## Properties
Total energy (eV/atom): -3.9458
Space-group type: No. 141